## Y2CrNi (GGA-PBE)

Data for a relaxed structure of Y2CrNi.

- Symmetry: No. 38
- ΔH_f (0 K): 0.1 kcal/mol of atoms

Cell: 3.7762 5.8085 5.8085 Å, 43.67 90.00 90.00°
Closest atoms and distances in Å follow each position.
Sites, in units of the cell vectors:
1 Y 0.0000 0.0000 0.0000  4 Ni 2.96, 3 Cr 3.05-3.23
2 Y 0.5000 0.2923 0.2923  3 Ni 2.95-3.26, 4 Cr 3.04
3 Cr 0.0000 0.7002 0.7002  2 Ni 2.38
4 Ni 0.5000 0.5664 0.5664  2 Cr 2.38

## YCr2Ni (GGA-PBE)

Data for a relaxed structure of YCr2Ni.

- Symmetry: No. 12
- ΔH_f (0 K): 8.0 kcal/mol of atoms

Cell: 4.7363 4.7363 4.9717 Å, 103.46 103.46 37.89°
Closest atoms and distances in Å follow each position.
Sites, in units of the cell vectors:
1 Y 0.0000 0.0000 0.0000  4 Ni 2.92, 8 Cr 3.01-3.27, 2 Y 3.08
2 Cr 0.2206 0.2206 0.6305  2 Cr 2.16
3 Cr 0.7794 0.7794 0.3695  2 Cr 2.16
4 Ni 0.5000 0.5000 0.5000  6 Cr 2.46-2.74

## Y2CrNi (GGA-PBE)

Data for a relaxed structure of Y2CrNi.

- Symmetry: No. 99
- ΔH_f (0 K): 4.1 kcal/mol of atoms

Cell: 3.3581 3.3581 7.7465 Å, 90.00 90.00 90.00°
Closest atoms and distances in Å follow each position.
Sites, in units of the cell vectors:
1 Y 0.0000 0.0000 0.0000  1 Cr 2.84, 4 Ni 2.97
2 Y 0.5000 0.5000 0.3748  1 Ni 3.07, 4 Cr 3.10, 4 Y 3.36
3 Cr 0.0000 0.0000 0.6329  4 Ni 2.60, 1 Y 2.84
4 Ni 0.5000 0.5000 0.7706  4 Cr 2.60

## YCr2Ni (GGA-PBE)

Data for a relaxed structure of YCr2Ni.

- Symmetry: No. 141
- ΔH_f (0 K): 14.2 kcal/mol of atoms

Cell: 9.1529 9.1529 9.1529 Å, 153.91 153.91 37.23°
Closest atoms and distances in Å follow each position.
Sites, in units of the cell vectors:
1 Y 0.3750 0.6250 0.7500  4 Ni 2.92, 8 Cr 3.17
2 Y 0.6250 0.3750 0.2500  4 Ni 2.92, 8 Cr 3.17
3 Cr 0.0000 0.0000 0.0000  2 Cr 2.07
4 Cr 0.0000 0.0000 0.5000  2 Cr 2.07
5 Cr 0.0000 0.5000 0.0000  2 Cr 2.07
6 Cr 0.5000 0.0000 0.5000  2 Cr 2.07
7 Ni 0.1250 0.8750 0.2500  4 Cr 2.40
8 Ni 0.8750 0.1250 0.7500  4 Cr 2.40

## YCr2Ni (GGA-PBE)

Data for a relaxed structure of YCr2Ni.

- Symmetry: No. 119
- ΔH_f (0 K): 5.6 kcal/mol of atoms

Cell: 4.5271 4.5271 4.5271 Å, 119.83 119.83 90.29°
Closest atoms and distances in Å follow each position.
Sites, in units of the cell vectors:
1 Y 0.0000 0.0000 0.0000  4 Cr 2.77, 4 Ni 2.77
2 Cr 0.2500 0.7500 0.5000  4 Cr 2.77, 4 Y 2.77
3 Cr 0.5000 0.5000 0.0000  4 Cr 2.77, 4 Ni 2.77
4 Ni 0.7500 0.2500 0.5000  4 Cr 2.77, 4 Y 2.77

## Y2CrNi (GGA-PBE)

Data for a relaxed structure of Y2CrNi.

- Symmetry: No. 44
- ΔH_f (0 K): 2.0 kcal/mol of atoms

Cell: 6.0779 6.0779 6.0779 Å, 147.37 134.93 56.74°
Closest atoms and distances in Å follow each position.
Sites, in units of the cell vectors:
1 Y 0.0000 0.0000 0.0000  4 Ni 2.91, 2 Cr 3.16
2 Y 0.7163 0.2163 0.5000  4 Cr 3.03, 2 Ni 3.19, 2 Y 3.28
3 Cr 0.3006 0.8006 0.5000  2 Ni 2.45
4 Ni 0.4648 0.4648 0.0000  2 Cr 2.45